Computed, not measured: crystalline BaNa3Br at its relaxed geometry at the GGA-PBE level of DFT.

Cell lengths 6.021, 6.021, 6.021 Å; angles 90.00, 90.00, 90.00 degrees
Atoms (fractional coordinates):
Na1 0.500 0.000 0.000
Na2 0.000 0.500 0.000
Na3 0.000 0.000 0.500
Br1 0.000 0.000 0.000
Ba1 0.500 0.500 0.500

- Relative energy among the computed polymorphs: 0.000 eV per formula unit

=====

Computed, not measured: crystalline BaNa2Br2 at its relaxed geometry at the GGA-PBE level of DFT.

Cell lengths 4.303, 4.303, 10.555 Å; angles 78.24, 78.24, 90.00 degrees
Atoms (fractional coordinates):
Ba1 0.000 0.000 0.000
Na1 0.250 0.750 0.500
Na2 0.750 0.250 0.500
Br1 0.414 0.414 0.172
Br2 0.586 0.586 0.828

- Relative energy among the computed polymorphs: 0.178 eV per formula unit

=====

Computed, not measured: crystalline Ba2NaBr at its relaxed geometry at the GGA-PBE level of DFT.

Cell lengths 4.435, 4.435, 11.340 Å; angles 78.72, 78.72, 60.00 degrees
Each line ends with the local moment (μB).
Atoms (fractional coordinates):
Ba1 0.262 0.262 0.213  0.01
Ba2 0.071 0.071 0.788  0.12
Br1 0.667 0.667 0.998  0.01
Na1 0.500 0.500 0.501  0.00

- Relative energy among the computed polymorphs: 0.004 eV per formula unit

=====

Computed, not measured: crystalline BaNaBr3 at its relaxed geometry at the GGA-PBE level of DFT.

Cell lengths 6.313, 6.313, 6.313 Å; angles 90.00, 90.00, 90.00 degrees
Atoms (fractional coordinates):
Na1 0.500 0.500 0.500
Br1 0.000 0.500 0.000
Br2 0.500 0.000 0.000
Br3 0.000 0.000 0.500
Ba1 0.000 0.000 0.000

- Relative energy among the computed polymorphs: 1.305 eV per formula unit

=====

Computed, not measured: crystalline Ba2Na2Br at its relaxed geometry at the GGA-PBE level of DFT.

Cell lengths 8.995, 8.995, 6.375 Å; angles 90.00, 90.00, 90.00 degrees
Atoms (fractional coordinates):
Br1 0.000 0.000 0.000
Br2 0.500 0.500 0.000
Ba1 0.673 0.173 0.000
Ba2 0.173 0.327 0.000
Ba3 0.327 0.827 0.000
Ba4 0.827 0.673 0.000
Na1 0.634 0.866 0.500
Na2 0.366 0.134 0.500
Na3 0.134 0.634 0.500
Na4 0.866 0.366 0.500

- Relative energy among the computed polymorphs: 0.000 eV per formula unit

=====

Computed, not measured: crystalline BaNa2Br at its relaxed geometry at the GGA-PBE level of DFT.

Cell lengths 4.191, 4.191, 11.894 Å; angles 79.85, 79.85, 60.00 degrees
Atoms (fractional coordinates):
Ba1 0.000 0.000 0.000
Br1 0.500 0.500 0.500
Na1 0.885 0.885 0.346
Na2 0.115 0.115 0.654

- Relative energy among the computed polymorphs: 0.175 eV per formula unit

=====

no.,E (eV/atom),mass density (g cm⁻³)
1,-1.881,2.18
2,-2.643,3.04
3,-2.422,3.33
4,-3.295,2.64
5,-2.140,2.58
6,-2.139,2.47